Run P
# LaNdEr2

A relaxed structure of LaNdEr2 (PBE, the Alexandria database).

Cell lengths 11.8583, 11.8583, 11.8583 Å; angles 17.60, 17.60, 17.60 degrees
Closest atoms and distances in Å follow each position.
Fractional positions:
La  0.0000  0.0000  0.0000  6 Er 3.59-3.60, 6 La 3.63
Nd  0.1659  0.1659  0.1659  6 Er 3.57-3.61, 6 Nd 3.63
Er  0.4167  0.4167  0.4167  3 Nd 3.57, 3 La 3.59, 6 Er 3.63
Er  0.5832  0.5832  0.5832  3 La 3.60, 3 Nd 3.61, 6 Er 3.63

***

Run Q
# LaNdEr2

A relaxed structure of LaNdEr2 (PBE, the Alexandria database).

Cell lengths 6.1418, 5.5686, 8.8743 Å; angles 90.00, 98.23, 90.00 degrees
Closest atoms and distances in Å follow each position.
Fractional positions:
La  0.0000  0.0000  0.0000  6 Er 3.56-3.62, 4 Nd 3.90
La  0.5000  0.5000  0.5000  6 Er 3.28-3.31, 2 Nd 3.29
Nd  0.1014  0.5000  0.7108  4 Er 3.24-3.53, 1 La 3.29
Nd  0.8986  0.5000  0.2892  4 Er 3.24-3.53, 1 La 3.29
Er  0.2388  0.0000  0.3976  3 La 3.28-3.62, 2 Er 3.45-3.67, 2 Nd 3.53
Er  0.3387  0.5000  0.1275  1 Er 3.21, 2 Nd 3.24-3.53, 3 La 3.31-3.56
Er  0.6613  0.5000  0.8725  1 Er 3.21, 2 Nd 3.24-3.53, 3 La 3.31-3.56
Er  0.7612  0.0000  0.6024  3 La 3.28-3.62, 2 Er 3.45-3.67, 2 Nd 3.53

***

Run R
# LaNdEr2

A relaxed structure of LaNdEr2 (PBE, the Alexandria database).

Cell lengths 5.7556, 5.7556, 5.7556 Å; angles 60.00, 60.00, 60.00 degrees
Closest atoms and distances in Å follow each position.
Fractional positions:
La  0.0000  0.0000  0.0000  8 Er 3.52
Nd  0.5000  0.5000  0.5000  8 Er 3.52
Er  0.2500  0.2500  0.2500  4 Nd 3.52, 4 La 3.52
Er  0.7500  0.7500  0.7500  4 Nd 3.52, 4 La 3.52

***

Run S
# LaNdEr2

A relaxed structure of LaNdEr2 (PBE, the Alexandria database).

Cell lengths 11.8258, 11.8258, 11.8258 Å; angles 17.62, 17.62, 17.62 degrees
Closest atoms and distances in Å follow each position.
Fractional positions:
La  0.0000  0.0000  0.0000  6 Er 3.60, 6 La 3.62
Nd  0.5000  0.5000  0.5000  6 Er 3.57, 6 Nd 3.62
Er  0.2494  0.2494  0.2494  3 Nd 3.57, 3 La 3.60, 6 Er 3.62
Er  0.7506  0.7506  0.7506  3 Nd 3.57, 3 La 3.60, 6 Er 3.62

***

Last place for stability: run Q

***

Run P
# La8Nd2Er

A relaxed structure of La8Nd2Er (PBE, the Alexandria database).

Cell lengths 9.7789, 9.7789, 8.2709 Å; angles 104.60, 104.60, 31.13 degrees
Closest atoms and distances in Å follow each position.
Fractional positions:
La  0.0461  0.0461  0.2283  1 Nd 3.67, 9 La 3.68-3.72, 2 Er 3.70
La  0.1360  0.1360  0.6810  7 La 3.68-3.73, 2 Er 3.70, 3 Nd 3.70-3.72
La  0.3193  0.3193  0.5879  1 Er 3.66, 8 La 3.68-3.74, 3 Nd 3.69-3.73
La  0.4099  0.4099  0.0482  1 Er 3.68, 8 La 3.68-3.74, 3 Nd 3.71
La  0.5901  0.5901  0.9518  1 Er 3.68, 8 La 3.68-3.74, 3 Nd 3.71
La  0.6807  0.6807  0.4121  1 Er 3.66, 8 La 3.68-3.74, 3 Nd 3.69-3.73
La  0.8640  0.8640  0.3190  7 La 3.68-3.73, 2 Er 3.70, 3 Nd 3.70-3.72
La  0.9539  0.9539  0.7717  1 Nd 3.67, 9 La 3.68-3.72, 2 Er 3.70
Nd  0.2264  0.2264  0.1359  10 La 3.67-3.73, 2 Nd 3.71
Nd  0.7736  0.7736  0.8641  10 La 3.67-3.73, 2 Nd 3.71
Er  0.5000  0.5000  0.5000  12 La 3.66-3.70

***

Run Q
# La8Nd2Er

A relaxed structure of La8Nd2Er (PBE, the Alexandria database).

Cell lengths 9.6709, 9.6709, 6.0974 Å; angles 105.53, 105.53, 122.52 degrees
Closest atoms and distances in Å follow each position.
Fractional positions:
La  0.0961  0.3305  0.6825  3 La 3.30-3.67, 2 Nd 3.63-3.65
La  0.2048  0.7952  0.0000  1 Er 3.47, 2 Nd 3.53, 6 La 3.76-3.78
La  0.3305  0.0961  0.6825  3 La 3.30-3.67, 2 Nd 3.63-3.65
La  0.4191  0.4191  0.2006  3 La 3.08-3.30, 1 Er 3.37
La  0.5809  0.5809  0.7994  3 La 3.08-3.30, 1 Er 3.37
La  0.6695  0.9039  0.3175  3 La 3.30-3.67, 2 Nd 3.63-3.65
La  0.7952  0.2048  0.0000  1 Er 3.47, 2 Nd 3.53, 6 La 3.76-3.78
La  0.9039  0.6695  0.3175  3 La 3.30-3.67, 2 Nd 3.63-3.65
Nd  0.3094  0.6906  0.5000  10 La 3.53-3.90
Nd  0.6906  0.3094  0.5000  10 La 3.53-3.90
Er  0.0000  0.0000  0.0000  4 La 3.37-3.47

***

Last place for stability: run Q

***

Run P
# La5Nd4Er

A relaxed structure of La5Nd4Er (PBE, the Alexandria database).

Cell lengths 4.3165, 4.3165, 19.2963 Å; angles 90.00, 90.00, 90.00 degrees
Closest atoms and distances in Å follow each position.
Fractional positions:
La  0.0000  0.0000  0.0000  8 Nd 3.62, 2 La 3.83
La  0.0000  0.0000  0.1984  8 Nd 3.59-3.62, 2 La 3.83-3.96
La  0.0000  0.0000  0.4038  4 Er 3.57, 4 Nd 3.66, 2 La 3.71-3.96
La  0.0000  0.0000  0.5962  4 Er 3.57, 4 Nd 3.66, 2 La 3.71-3.96
La  0.0000  0.0000  0.8016  8 Nd 3.59-3.62, 2 La 3.83-3.96
Nd  0.5000  0.5000  0.1007  8 La 3.59-3.62, 2 Nd 3.82-3.89
Nd  0.5000  0.5000  0.2989  8 La 3.62-3.66, 1 Nd 3.82, 1 Er 3.88
Nd  0.5000  0.5000  0.7011  8 La 3.62-3.66, 1 Nd 3.82, 1 Er 3.88
Nd  0.5000  0.5000  0.8993  8 La 3.59-3.62, 2 Nd 3.82-3.89
Er  0.5000  0.5000  0.5000  8 La 3.57, 2 Nd 3.88

***

Run Q
# La5Nd4Er

A relaxed structure of La5Nd4Er (PBE, the Alexandria database).

Cell lengths 9.0350, 9.0350, 11.7561 Å; angles 109.10, 109.10, 23.29 degrees
Closest atoms and distances in Å follow each position.
Fractional positions:
La  0.0000  0.0000  0.0000  6 Nd 3.48-3.76, 6 La 3.65-3.68
La  0.2947  0.2947  0.3929  5 Nd 3.58-3.97, 6 La 3.65-3.90, 2 Er 3.88
La  0.3086  0.3086  0.9135  4 Nd 3.39-3.70, 4 La 3.65-3.68
La  0.6914  0.6914  0.0865  4 Nd 3.39-3.70, 4 La 3.65-3.68
La  0.7053  0.7053  0.6071  5 Nd 3.58-3.97, 6 La 3.65-3.90, 2 Er 3.88
Nd  0.1057  0.1057  0.7981  1 Er 3.38, 6 La 3.39-3.76, 4 Nd 3.65
Nd  0.4163  0.4163  0.7049  6 La 3.57-3.97, 4 Nd 3.65, 2 Er 3.70
Nd  0.5837  0.5837  0.2951  6 La 3.57-3.97, 4 Nd 3.65, 2 Er 3.70
Nd  0.8943  0.8943  0.2019  1 Er 3.38, 6 La 3.39-3.76, 4 Nd 3.65
Er  0.0000  0.0000  0.5000  6 Nd 3.38-3.70, 2 Er 3.65

***

Last place for stability: run P